[1]
! SCAN Nd2Al9Ir3, PBEsol geometry; values from VASP
! DOS(E_F) = 0.36 states/eV/atom
! symmetry = Cmcm, No. 63
! E_form = -1.00 eV per atom
! size of the total moment = 0.09 μB/f.u.
&SYSTEM
  ibrav = 0, nat = 28, ntyp = 3
/
ATOMIC_SPECIES
Nd 144.24 Nd.upf
Al 26.98 Al.upf
Ir 192.22 Ir.upf
ATOMIC_POSITIONS angstrom
Nd 4.407 2.535 7.135
Nd 8.624 2.535 7.135
Nd 4.407 -2.535 2.378
Nd 8.624 -2.535 2.378
Al 4.342 2.523 0.696
Al 4.342 2.523 4.060
Al 6.515 2.816 2.378
Al 6.515 1.267 5.204
Al 6.515 1.267 9.066
Al 8.689 2.523 0.696
Al 8.689 2.523 4.060
Al 5.159 0.427 2.378
Al 5.159 -0.427 7.135
Al 7.871 0.427 2.378
Al 7.871 -0.427 7.135
Al 4.342 -2.523 5.453
Al 4.342 -2.523 8.817
Al 6.515 -1.267 0.447
Al 6.515 -1.267 4.309
Al 6.515 -2.816 7.135
Al 8.689 -2.523 5.453
Al 8.689 -2.523 8.817
Ir 0.000 0.000 0.000
Ir 0.000 0.000 4.757
Ir 4.285 0.000 0.000
Ir 4.285 0.000 4.757
Ir 8.745 0.000 0.000
Ir 8.745 0.000 4.757
CELL_PARAMETERS angstrom
6.515 -3.807 0.000
6.515 3.807 0.000
0.000 0.000 9.513

[2]
! SCAN KMg2NiW, PBEsol geometry; values from VASP
! DOS(E_F) = 0.54 states/eV/atom
! symmetry = P4/mmm, No. 123
! E_form = 2.28 eV per atom
! size of the total moment = 0.84 μB/f.u.
&SYSTEM
  ibrav = 0, nat = 5, ntyp = 4
/
ATOMIC_SPECIES
K 39.10 K.upf
Mg 24.30 Mg.upf
Ni 58.69 Ni.upf
W 183.84 W.upf
ATOMIC_POSITIONS angstrom
K 0.000 0.000 0.000
Mg 0.000 2.385 0.000
Mg 2.385 0.000 0.000
Ni 0.000 0.000 2.103
W 2.385 2.385 2.103
CELL_PARAMETERS angstrom
4.770 0.000 0.000
0.000 4.770 0.000
0.000 0.000 4.206

[3]
! SCAN LiTeHN2, PBEsol geometry; values from VASP
! DOS(E_F) = 0.25 states/eV/atom
! symmetry = P4/mmm, No. 123
! electronic total energy = -10.440 eV/atom
! size of the total moment = 0.00 μB/f.u.
&SYSTEM
  ibrav = 0, nat = 5, ntyp = 4
/
ATOMIC_SPECIES
Li 6.94 Li.upf
Te 127.60 Te.upf
H 1.01 H.upf
N 14.01 N.upf
ATOMIC_POSITIONS angstrom
Li 0.000 0.000 0.000
Te 0.000 0.000 2.380
H 1.713 1.713 2.380
N 0.000 1.713 0.000
N 1.713 0.000 0.000
CELL_PARAMETERS angstrom
3.426 0.000 0.000
0.000 3.426 0.000
0.000 0.000 4.760

[4]
! SCAN LiZrOs2, PBEsol geometry; values from VASP
! DOS(E_F) = 1.25 states/eV/atom
! symmetry = I4/mmm, No. 139
! E_form = 0.06 eV per atom
! size of the total moment = 0.00 μB/f.u.
&SYSTEM
  ibrav = 0, nat = 4, ntyp = 3
/
ATOMIC_SPECIES
Li 6.94 Li.upf
Zr 91.22 Zr.upf
Os 190.23 Os.upf
ATOMIC_POSITIONS angstrom
Li 0.000 0.000 0.000
Zr 0.000 0.000 4.024
Os 1.938 0.000 2.012
Os 0.000 1.938 2.012
CELL_PARAMETERS angstrom
-1.938 1.938 4.024
1.938 -1.938 4.024
1.938 1.938 -4.024

> The highest DOS(E_F) belongs to which entry?

LiZrOs2

> What is the DOS(E_F) in the fourth record?

1.25 states/eV/atom